Computed, not measured: a relaxed structure of MnNi2O4 at the PBE+U level of DFT.

Structure (CIF):
```
data_MnNi2O4
_chemical_formula_sum 'Mn2 Ni4 O8'
_symmetry_space_group_name_H-M 'C 1 2/m 1'
_symmetry_Int_Tables_number 12
_symmetry_space_group_name_Hall '-C 2y'
_cell_length_a 10.452
_cell_length_b 2.975
_cell_length_c 5.121
_cell_angle_alpha 90.00
_cell_angle_beta 117.40
_cell_angle_gamma 90.00
loop_
_atom_site_label
_atom_site_type_symbol
_atom_site_fract_x
_atom_site_fract_y
_atom_site_fract_z
Mn1 Mn 0.000 0.000 0.000
Ni1 Ni 0.208 0.500 0.693
O1 O 0.124 0.000 0.414
O2 O 0.124 0.500 0.979
```

## Properties
- Electronic total energy: -80.376 eV per cell
- N(E_F): 2.619 states/eV per cell
- Spin magnetization: 7.0 μB per formula unit